1.
Density functional theory data (GGA-PBE) for a geometry-optimized Mg2ZnP structure.

Cell lengths 4.7345, 4.7345, 4.7345 Å; angles 60.00, 60.00, 60.00 degrees
Sites, in units of the cell vectors:
Mg: 0.2500 0.2500 0.2500
Mg: 0.0000 0.0000 0.0000
P: 0.5000 0.5000 0.5000
Zn: 0.7500 0.7500 0.7500

Values from the calculation:
**Magnetic moment**: 0.00 μB per cell
**Energy**: -9.29 eV/cell
**ΔH_f (0 K)**: 146 meV per atom
**N(E_F)**: 0.735 states/eV per atom


2.
Density functional theory data (GGA-PBE) for a geometry-optimized MgZrP2 structure.

Cell lengths 3.4021, 4.4903, 4.4903 Å; angles 90.00, 90.00, 90.00 degrees
Sites, in units of the cell vectors:
P: 0.0000 0.5000 0.5000
P: 0.0000 0.0000 0.0000
Mg: 0.5000 0.0000 0.5000
Zr: 0.5000 0.5000 0.0000

Values from the calculation:
**Magnetic moment**: 0.00 μB per cell
**Energy**: -23.21 eV/cell
**ΔH_f (0 K)**: -563 meV per atom
**N(E_F)**: 0.413 states/eV per atom


3.
Density functional theory data (GGA-PBE) for a geometry-optimized Mg2ZrP structure.

Cell lengths 3.6165, 3.6417, 6.4213 Å; angles 73.34, 90.00, 90.00 degrees
Sites, in units of the cell vectors:
Mg: 0.0000 0.0671 0.9906
Mg: 0.5000 0.4361 0.2499
Zr: 0.5000 0.7173 0.6925
P: 0.0000 0.2796 0.5670

Values from the calculation:
**Magnetic moment**: 0.00 μB per cell
**Energy**: -19.11 eV/cell
**ΔH_f (0 K)**: -491 meV per atom
**N(E_F)**: 0.522 states/eV per atom


4.
Density functional theory data (GGA-PBE) for a geometry-optimized Mg2ZrP structure.

Cell lengths 3.9220, 3.8907, 5.9619 Å; angles 62.58, 90.00, 90.00 degrees
Sites, in units of the cell vectors:
Mg: 0.0000 0.0899 0.0177
Mg: 0.0000 0.4101 0.4823
P: 0.5000 0.2500 0.2500
Zr: 0.5000 0.7500 0.7500

Values from the calculation:
**Magnetic moment**: 0.00 μB per cell
**Energy**: -17.87 eV/cell
**ΔH_f (0 K)**: -180 meV per atom
**N(E_F)**: 0.544 states/eV per atom


5.
Density functional theory data (GGA-PBE) for a geometry-optimized MgZrP2 structure.

Cell lengths 6.5219, 6.5219, 3.7236 Å; angles 89.97, 89.97, 30.66 degrees
Sites, in units of the cell vectors:
P: 0.7943 0.7943 0.6252
P: 0.0238 0.0238 0.1247
Mg: 0.2263 0.2263 0.1253
Zr: 0.4556 0.4556 0.6248

Values from the calculation:
**Magnetic moment**: 0.00 μB per cell
**Energy**: -24.05 eV/cell
**ΔH_f (0 K)**: -773 meV per atom
**N(E_F)**: 0.338 states/eV per atom


6.
Density functional theory data (GGA-PBE) for a geometry-optimized MgZrP4 structure.

Cell lengths 5.1561, 5.1561, 5.1561 Å; angles 60.00, 60.00, 60.00 degrees
Sites, in units of the cell vectors:
Mg: 0.0000 0.0000 0.0000
P: 0.8712 0.3763 0.3763
P: 0.3763 0.8712 0.3763
P: 0.3763 0.3763 0.3763
P: 0.3763 0.3763 0.8712
Zr: 0.7500 0.7500 0.7500

Values from the calculation:
**Magnetic moment**: 0.00 μB per cell
**Energy**: -31.15 eV/cell
**ΔH_f (0 K)**: 105 meV per atom
**N(E_F)**: 0.573 states/eV per atom


7.
Density functional theory data (GGA-PBE) for a geometry-optimized Mg2ZrP structure.

Cell lengths 3.5826, 3.5826, 6.1416 Å; angles 90.00, 90.00, 90.00 degrees
Sites, in units of the cell vectors:
Mg: 0.0000 0.0000 0.9898
Mg: 0.5000 0.5000 0.2455
Zr: 0.5000 0.5000 0.7152
P: 0.0000 0.0000 0.5496

Values from the calculation:
**Magnetic moment**: 0.00 μB per cell
**Energy**: -18.74 eV/cell
**ΔH_f (0 K)**: -399 meV per atom
**N(E_F)**: 0.611 states/eV per atom


8.
Density functional theory data (GGA-PBE) for a geometry-optimized MgZrP2 structure.

Cell lengths 3.7635, 3.7635, 6.6657 Å; angles 73.60, 73.60, 60.00 degrees
Sites, in units of the cell vectors:
P: 0.2529 0.2529 0.2413
P: 0.0820 0.0820 0.7540
Zr: 0.6681 0.6681 0.9957
Mg: 0.4970 0.4970 0.5090

Values from the calculation:
**Magnetic moment**: 0.00 μB per cell
**Energy**: -24.36 eV/cell
**ΔH_f (0 K)**: -848 meV per atom
**N(E_F)**: 0.154 states/eV per atom


9.
Density functional theory data (GGA-PBE) for a geometry-optimized Mg2ZrP structure.

Cell lengths 5.4167, 5.4167, 5.4167 Å; angles 139.63, 132.14, 64.36 degrees
Sites, in units of the cell vectors:
Zr: 0.2742 0.7742 0.5000
Mg: 0.7189 0.2189 0.5000
Mg: 0.0029 0.0029 0.0000
P: 0.5040 0.5040 0.0000

Values from the calculation:
**Magnetic moment**: 0.00 μB per cell
**Energy**: -18.28 eV/cell
**ΔH_f (0 K)**: -283 meV per atom
**N(E_F)**: 0.353 states/eV per atom


10.
Density functional theory data (GGA-PBE) for a geometry-optimized Mg2ZrP structure.

Cell lengths 9.5840, 9.5840, 9.5840 Å; angles 18.80, 18.80, 18.80 degrees
Sites, in units of the cell vectors:
Mg: 0.9885 0.9885 0.9885
Mg: 0.5115 0.5115 0.5115
Zr: 0.7500 0.7500 0.7500
P: 0.2500 0.2500 0.2500

Values from the calculation:
**Magnetic moment**: 0.00 μB per cell
**Energy**: -17.11 eV/cell
**ΔH_f (0 K)**: 9 meV per atom
**N(E_F)**: 0.959 states/eV per atom


11.
Density functional theory data (GGA-PBE) for a geometry-optimized MgZrP2 structure.

Cell lengths 4.6040, 4.6040, 4.6040 Å; angles 60.00, 60.00, 60.00 degrees
Sites, in units of the cell vectors:
Mg: 0.5000 0.5000 0.5000
P: 0.7500 0.7500 0.7500
P: 0.0000 0.0000 0.0000
Zr: 0.2500 0.2500 0.2500

Values from the calculation:
**Magnetic moment**: 0.00 μB per cell
**Energy**: -20.54 eV/cell
**ΔH_f (0 K)**: 106 meV per atom
**N(E_F)**: 0.194 states/eV per atom


12.
Density functional theory data (GGA-PBE) for a geometry-optimized MgZr2P2 structure.

Cell lengths 7.1411, 7.1411, 3.5078 Å; angles 90.00, 90.00, 90.00 degrees
Sites, in units of the cell vectors:
P: 0.6455 0.1455 0.0000
P: 0.1455 0.3545 0.0000
P: 0.8545 0.6455 0.0000
P: 0.3545 0.8545 0.0000
Zr: 0.6491 0.8509 0.5000
Zr: 0.1491 0.6491 0.5000
Zr: 0.8509 0.3509 0.5000
Zr: 0.3509 0.1491 0.5000
Mg: 0.5000 0.5000 0.0000
Mg: 0.0000 0.0000 0.0000

Values from the calculation:
**Magnetic moment**: 0.00 μB per cell
**Energy**: -68.85 eV/cell
**ΔH_f (0 K)**: -983 meV per atom
**N(E_F)**: 0.362 states/eV per atom